(1)
# Er3TmCo4 (PBE-GGA, optimized geometry)
data_Er3TmCo4
_chemical_formula_sum 'Er3 Tm1 Co4'
_space_group_name_H-M_alt 'P 4/m m m'
_space_group_IT_number 123
_space_group_name_Hall '-P 4 2'
_cell_length_a 4.6599
_cell_length_b 4.6599
_cell_length_c 6.6214
_cell_angle_alpha 90.00
_cell_angle_beta 90.00
_cell_angle_gamma 90.00
loop_
_atom_site_label
_atom_site_fract_x
_atom_site_fract_y
_atom_site_fract_z
_atom_site_occupancy
Er1 0.0000 0.0000 0.0000 1
Er2 0.0000 0.0000 0.5000 1
Er3 0.5000 0.5000 0.0000 1
Tm1 0.5000 0.5000 0.5000 1
Co1 0.0000 0.5000 0.2507 1
# * magnetization: 1.41 μB per formula unit
# * V: 143.8 Å³/cell
# * energy relative to the elements: -0.2036 eV/atom
# * density: 10.47 g/cm3

***

(2)
# ErTm4Co (PBE-GGA, optimized geometry)
data_ErTm4Co
_chemical_formula_sum 'Er2 Tm8 Co2'
_space_group_name_H-M_alt 'C 1 2/m 1'
_space_group_IT_number 12
_cell_length_a 11.7658
_cell_length_b 3.5002
_cell_length_c 8.1709
_cell_angle_alpha 90.00
_cell_angle_beta 111.01
_cell_angle_gamma 90.00
loop_
_space_group_symop_operation_xyz
'x,y,z'
'-x,-y,-z'
'-x,y,-z'
'x,-y,z'
'x+1/2,y+1/2,z'
'-x+1/2,-y+1/2,-z'
'-x+1/2,y+1/2,-z'
'x+1/2,-y+1/2,z'
loop_
_atom_site_label
_atom_site_fract_x
_atom_site_fract_y
_atom_site_fract_z
_atom_site_occupancy
Er1 0.0000 0.0000 0.0000 1
Tm1 0.1273 0.5000 0.3766 1
Tm2 0.1685 0.5000 0.7910 1
Co1 0.0000 0.0000 0.5000 1
# * magnetization: 0.00 μB per formula unit
# * V: 314.1 Å³/cell
# * energy relative to the elements: -0.0588 eV/atom
# * density: 9.54 g/cm3

***

(3)
# Er3UCo3 (PBE-GGA, optimized geometry)
data_Er3UCo3
_chemical_formula_sum 'Er12 U4 Co12'
_space_group_name_H-M_alt 'C 1 2/m 1'
_space_group_IT_number 12
_cell_length_a 12.4730
_cell_length_b 3.5964
_cell_length_c 13.9958
_cell_angle_alpha 90.00
_cell_angle_beta 114.66
_cell_angle_gamma 90.00
loop_
_space_group_symop_operation_xyz
'x,y,z'
'-x,-y,-z'
'-x,y,-z'
'x,-y,z'
'x+1/2,y+1/2,z'
'-x+1/2,-y+1/2,-z'
'-x+1/2,y+1/2,-z'
'x+1/2,-y+1/2,z'
loop_
_atom_site_label
_atom_site_fract_x
_atom_site_fract_y
_atom_site_fract_z
_atom_site_occupancy
Er1 0.0379 0.0000 0.2981 1
Er2 0.1379 0.5000 0.1366 1
Er3 0.1652 0.0000 0.5805 1
U1 0.1656 0.5000 0.9075 1
Co1 0.0172 0.5000 0.4277 1
Co2 0.0595 0.0000 0.9483 1
Co3 0.1619 0.5000 0.7482 1
# * magnetization: 0.00 μB per formula unit
# * V: 570.6 Å³/cell
# * energy relative to the elements: -0.2099 eV/atom
# * density: 10.67 g/cm3

***

(4)
# ErUCo2 (PBE-GGA, optimized geometry)
data_ErUCo2
_chemical_formula_sum 'Er1 U1 Co2'
_space_group_name_H-M_alt 'P 4/m m m'
_space_group_IT_number 123
_space_group_name_Hall '-P 4 2'
_cell_length_a 4.7287
_cell_length_b 4.7287
_cell_length_c 3.1523
_cell_angle_alpha 90.00
_cell_angle_beta 90.00
_cell_angle_gamma 90.00
loop_
_atom_site_label
_atom_site_fract_x
_atom_site_fract_y
_atom_site_fract_z
_atom_site_occupancy
Er1 0.0000 0.0000 0.0000 1
U1 0.5000 0.5000 0.0000 1
Co1 0.0000 0.5000 0.5000 1
# * magnetization: 1.17 μB per formula unit
# * V: 70.5 Å³/cell
# * energy relative to the elements: -0.0428 eV/atom
# * density: 12.32 g/cm3

***

The highest energy relative to the elements belongs to which entry? ErUCo2